1.
The following is a PBE calculation of a relaxed structure of EuCrPt4, from the Alexandria database.

volume = 110.7 Å³/f.u.
energy relative to the elements = -450 meV/atom
D(E_F) = 15.3 states/eV/f.u.
VASP energy = -7.793 eV/atom

abc: 7.6225 7.6225 7.6225
angles: 90.00 90.00 90.00
Closest atoms and distances in Å follow each position.
Space group F-43m (No. 216)
Asymmetric unit:
Eu  0.0000  0.0000  0.0000  12 Pt 3.16, 4 Cr 3.30
Cr  0.2500  0.2500  0.7500  12 Pt 3.16, 4 Eu 3.30
Pt  0.1245  0.1245  0.3755  6 Pt 2.68-2.71

***

2.
The following is a PBE calculation of a relaxed structure of Pr2SnBr, from the Alexandria database.

formation energy without anion corrections = -3.6 eV per formula unit
volume = 116.9 Å³/f.u.
D(E_F) = 3.3 states/eV/f.u.
relative energy among the computed polymorphs = 167.8 meV/atom
VASP energy = -4.714 eV/atom

abc: 7.7607 7.7607 7.7607
angles: 90.00 90.00 90.00
Closest atoms and distances in Å follow each position.
Space group Fm-3m (No. 225)
Asymmetric unit:
Pr  0.2500  0.2500  0.2500  4 Sn 3.36, 4 Br 3.36
Sn  0.0000  0.0000  0.0000  8 Pr 3.36
Br  0.0000  0.0000  0.5000  8 Pr 3.36

***

3.
The following is a PBE calculation of a relaxed structure of K2Tl2In15, from the Alexandria database.

volume = 570.8 Å³/f.u.
energy relative to the elements = -31 meV/atom
D(E_F) = 10.4 states/eV/f.u.
VASP energy = -2.557 eV/atom

abc: 10.9864 10.9864 16.3817
angles: 90.00 90.00 120.00
Closest atoms and distances in Å follow each position.
Space group R-3m (No. 166, hexagonal axes)
Asymmetric unit:
K  0.0000  0.0000  0.1615  15 In 3.83-4.24, 1 Tl 3.87
Tl  0.0000  0.0000  0.3980  1 Tl 3.34, 12 In 3.34-3.66
In  0.0000  0.2966  0.5000  8 In 3.20-3.53
In  0.0000  0.5000  0.0000  8 In 3.20-3.24, 2 Tl 3.34
In  0.0102  0.5051  0.6440  8 In 3.16-3.53

***

4.
The following is a PBE calculation of a relaxed structure of Mo3WS, from the Alexandria database.

formation energy without anion corrections = 3.4 eV per formula unit
volume = 84.0 Å³/f.u.
D(E_F) = 4.5 states/eV/f.u.
relative energy among the computed polymorphs = 0.0 meV/atom
VASP energy = -9.242 eV/atom

abc: 4.3793 4.3793 4.3793
angles: 90.00 90.00 90.00
Closest atoms and distances in Å follow each position.
Space group Pm-3m (No. 221)
Asymmetric unit:
Mo  0.0000  0.0000  0.5000  2 S 2.19
W  0.5000  0.5000  0.5000  12 Mo 3.10
S  0.0000  0.0000  0.0000  6 Mo 2.19

***

5.
The following is a PBE calculation of a relaxed structure of Re2Se3, from the Alexandria database.

formation energy without anion corrections = 0.2 eV per formula unit
volume = 111.5 Å³/f.u.
D(E_F) = 0.7 states/eV/f.u.
VASP energy = -7.035 eV/atom

abc: 7.5619 11.8929 5.5145
angles: 90.00 115.92 90.00
Closest atoms and distances in Å follow each position.
Space group Cc (No. 9)
Asymmetric unit:
Re  0.0000  0.0549  0.0000  1 Re 2.43, 4 Se 2.43-2.59
Re  0.4315  0.3554  0.9197  1 Re 2.43, 4 Se 2.45-2.68
Se  0.1112  0.2424  0.8706  3 Re 2.54-2.68
Se  0.1866  0.3647  0.4488  2 Re 2.45
Se  0.2537  0.0752  0.4595  3 Re 2.43-2.55

***

6.
The following is a PBE calculation of a relaxed structure of RbSc2TiTc, from the Alexandria database.

volume = 136.2 Å³/f.u.
energy relative to the elements = 906 meV/atom
D(E_F) = 6.2 states/eV/f.u.
VASP energy = -5.473 eV/atom

abc: 5.4988 5.4988 4.5053
angles: 90.00 90.00 90.00
Closest atoms and distances in Å follow each position.
Space group P4/mmm (No. 123)
Asymmetric unit:
Rb  0.0000  0.0000  0.0000  8 Sc 3.55, 4 Tc 3.89
Sc  0.0000  0.5000  0.5000  2 Ti 2.75
Ti  0.5000  0.5000  0.5000  2 Tc 2.25
Tc  0.5000  0.5000  0.0000  2 Ti 2.25